Entry 1:
Material: Dy3Mg3In2Ir
Method: DFT, PBE
State: optimized geometry

Cell: 7.4354 7.4354 4.5199 Å, 90.00 90.00 120.00°
Closest atoms and distances in Å follow each position.
Fractional positions:
Dy 0.0000 0.6105 0.0000  1 Ir 2.90, 4 In 3.22
Dy 0.3895 0.3895 0.0000  1 Ir 2.90, 4 In 3.22
Dy 0.6105 0.0000 0.0000  1 Ir 2.90, 4 In 3.22
Mg 0.0000 0.2296 0.5000  2 Ir 2.83, 2 In 2.94, 2 Mg 2.96
Mg 0.2296 0.0000 0.5000  2 Ir 2.83, 2 In 2.94, 2 Mg 2.96
Mg 0.7704 0.7704 0.5000  2 Ir 2.83, 2 In 2.94, 2 Mg 2.96
In 0.3333 0.6667 0.5000  3 Mg 2.94, 6 Dy 3.22
In 0.6667 0.3333 0.5000  3 Mg 2.94, 6 Dy 3.22
Ir 0.0000 0.0000 0.0000  6 Mg 2.83, 3 Dy 2.90

Output
Space-group type: P-62m, No. 189

Entry 2:
Material: SmEr2Ge4Pt4
Method: DFT, PBE
State: optimized geometry

Cell: 8.0906 8.0906 8.0906 Å, 150.05 127.50 61.63°
Closest atoms and distances in Å follow each position.
Fractional positions:
Sm 0.0000 0.0000 0.0000  6 Ge 3.05-3.07
Er 0.3743 0.8743 0.5000  6 Ge 3.00-3.03, 6 Pt 3.05-3.14
Er 0.6257 0.1257 0.5000  6 Ge 3.00-3.03, 6 Pt 3.05-3.14
Ge 0.2197 0.2197 0.0000  6 Pt 2.58-2.63
Ge 0.3150 0.5000 0.8150  2 Pt 2.55, 1 Ge 2.65
Ge 0.6850 0.5000 0.1850  2 Pt 2.55, 1 Ge 2.65
Ge 0.7803 0.7803 0.0000  6 Pt 2.58-2.63
Pt 0.0296 0.3256 0.7040  4 Ge 2.55-2.63
Pt 0.3783 0.6744 0.7040  4 Ge 2.55-2.63
Pt 0.6217 0.3256 0.2960  4 Ge 2.55-2.63
Pt 0.9704 0.6744 0.2960  4 Ge 2.55-2.63

Output
Space-group type: Immm, No. 71

Entry 3:
Material: Gd4C2SeCl
Method: DFT, PBE
State: optimized geometry

Cell: 3.7495 3.7495 13.6186 Å, 90.00 90.00 120.00°
Closest atoms and distances in Å follow each position.
Fractional positions:
Gd 0.0000 0.0000 0.1469  3 C 2.61
Gd 0.0000 0.0000 0.8531  3 C 2.61
Gd 0.6667 0.3333 0.3425  3 C 2.48
Gd 0.6667 0.3333 0.6575  3 C 2.48
C 0.3333 0.6667 0.2536  6 Gd 2.48-2.61
C 0.3333 0.6667 0.7464  6 Gd 2.48-2.61
Se 0.6667 0.3333 0.0000  6 Gd 2.95
Cl 0.0000 0.0000 0.5000  6 Gd 3.05

Output
Space-group type: P-6m2, No. 187

Number 1: V 216.4 Å³ per cell, energy -36.8 eV/cell. Number 2: V 207.9 Å³ per cell, energy -67.6 eV/cell. Number 3: V 165.8 Å³ per cell, energy -51.3 eV/cell.